(1)
## PrSn4Bi (PBE-GGA)

Data for crystalline PrSn4Bi at its relaxed geometry.

a b c (Å): 6.243 6.243 6.243
angles (deg): 60.00 60.00 60.00
Positions (direct):
Pr: 0.000 0.000 0.000
Bi: 0.250 0.250 0.250
Sn: 0.625 0.625 0.125
Sn: 0.625 0.125 0.625
Sn: 0.625 0.625 0.625
Sn: 0.125 0.625 0.625

Calculated values
**E_form**: -1.28 eV/f.u.
**VASP energy**: -4.325 eV per atom

(2)
## Pr8Sn5Bi (PBE-GGA)

Data for crystalline Pr8Sn5Bi at its relaxed geometry.

a b c (Å): 8.398 8.398 8.398
angles (deg): 109.43 109.54 109.43
Positions (direct):
Pr: 0.123 0.752 0.018
Pr: 0.982 0.106 0.734
Pr: 0.760 0.248 0.372
Pr: 0.628 0.389 0.876
Pr: 0.488 0.611 0.240
Pr: 0.629 0.894 0.877
Pr: 0.266 0.248 0.371
Pr: 0.124 0.752 0.512
Sn: 0.002 0.376 0.126
Sn: 0.874 0.876 0.250
Sn: 0.750 0.624 0.627
Sn: 0.500 0.000 0.500
Sn: 0.373 0.124 0.998
Bi: 0.250 0.500 0.750

Calculated values
**E_form**: -10.72 eV/f.u.
**VASP energy**: -5.204 eV per atom

(3)
## Pr2Sn4Bi (PBE-GGA)

Data for crystalline Pr2Sn4Bi at its relaxed geometry.

a b c (Å): 4.544 4.544 10.402
angles (deg): 90.00 90.00 90.00
Positions (direct):
Pr: 0.500 0.000 0.745
Pr: 0.000 0.500 0.255
Sn: 0.500 0.000 0.217
Sn: 0.000 0.500 0.783
Sn: 0.500 0.500 0.500
Sn: 0.000 0.000 0.500
Bi: 0.500 0.500 0.000

Calculated values
**E_form**: -2.95 eV/f.u.
**VASP energy**: -4.629 eV per atom

(4)
## Pr4SnBi (PBE-GGA)

Data for crystalline Pr4SnBi at its relaxed geometry.

a b c (Å): 6.461 8.839 8.650
angles (deg): 113.39 102.57 107.75
Positions (direct):
Pr: 0.049 0.220 0.834
Pr: 0.774 0.706 0.623
Pr: 0.285 0.614 0.834
Pr: 0.350 0.917 0.623
Pr: 0.650 0.083 0.377
Pr: 0.715 0.386 0.166
Pr: 0.226 0.294 0.377
Pr: 0.951 0.780 0.166
Sn: 0.252 0.002 0.003
Sn: 0.748 0.998 0.997
Bi: 0.369 0.619 0.238
Bi: 0.631 0.381 0.762

Calculated values
**E_form**: -3.31 eV/f.u.
**VASP energy**: -5.052 eV per atom

For each record above, in turn, the calculated DOS(E_F) values are 2.5; 7.7; 4.6; 7.4 states/eV/f.u..